VASP calculation (PBE) on a relaxed Ac3Ga7Pt2 crystal.

a b c (Å): 4.5310 4.5574 13.7682
angles (deg): 90.00 99.40 90.00
Closest atoms and distances in Å follow each position.
Positions (direct):
Ac (0.0000, 0.0000, 0.0000)  12 Ga 3.21-3.25, 2 Pt 3.55
Ac (0.3192, 0.5000, 0.6405)  10 Ga 3.42-3.46, 4 Pt 3.47-3.49
Ac (0.6808, 0.5000, 0.3595)  10 Ga 3.42-3.46, 4 Pt 3.47-3.49
Ga (0.0874, 0.5000, 0.1706)  2 Pt 2.59
Ga (0.2244, 0.0000, 0.4486)  1 Pt 2.55, 2 Ga 2.66
Ga (0.4152, 0.0000, 0.8304)  2 Pt 2.58
Ga (0.5000, 0.5000, 0.0000)  4 Ac 3.21, 8 Ga 3.23-3.25
Ga (0.5848, 0.0000, 0.1696)  2 Pt 2.58
Ga (0.7756, 0.0000, 0.5514)  1 Pt 2.55, 2 Ga 2.66
Ga (0.9126, 0.5000, 0.8294)  2 Pt 2.59
Pt (0.1302, 0.0000, 0.2611)  5 Ga 2.55-2.59
Pt (0.8698, 0.0000, 0.7389)  5 Ga 2.55-2.59

Output
As for the symmetry: No. 10. For the energy of formation from the pure elements, the calculation gives -0.71 eV per atom.

VASP calculation (PBE) on a relaxed Te2IrI crystal.

a b c (Å): 9.6977 4.1258 15.4790
angles (deg): 90.00 122.78 90.00
Closest atoms and distances in Å follow each position.
Positions (direct):
Te (0.0563, 0.0359, 0.1199)  1 Ir 2.73, 1 Te 2.78
Te (0.0563, 0.4641, 0.6199)  1 Ir 2.73, 1 Te 2.78
Te (0.2731, 0.1197, 0.7969)  2 Ir 2.60-2.68, 1 Te 2.78
Te (0.2731, 0.3803, 0.2969)  2 Ir 2.60-2.68, 1 Te 2.78
Te (0.7269, 0.6197, 0.7031)  2 Ir 2.60-2.68, 1 Te 2.78
Te (0.7269, 0.8803, 0.2031)  2 Ir 2.60-2.68, 1 Te 2.78
Te (0.9437, 0.5359, 0.3801)  1 Ir 2.73, 1 Te 2.78
Te (0.9437, 0.9641, 0.8801)  1 Ir 2.73, 1 Te 2.78
Ir (0.3793, 0.6326, 0.7423)  3 Te 2.60-2.73, 2 I 2.67-2.74
Ir (0.3793, 0.8674, 0.2423)  3 Te 2.60-2.73, 2 I 2.67-2.74
Ir (0.6207, 0.1326, 0.7577)  3 Te 2.60-2.73, 2 I 2.67-2.74
Ir (0.6207, 0.3674, 0.2577)  3 Te 2.60-2.73, 2 I 2.67-2.74
I (0.3470, 0.5272, 0.0800)  2 Ir 2.67-2.74
I (0.3470, 0.9728, 0.5800)  2 Ir 2.67-2.74
I (0.6530, 0.0272, 0.4200)  2 Ir 2.67-2.74
I (0.6530, 0.4728, 0.9200)  2 Ir 2.67-2.74

Output
As for the symmetry: No. 14. As for the energy relative to the lowest polymorph listed for this composition: 1.28 eV per formula unit.

VASP calculation (PBE) on a relaxed SrNdVN3 crystal.

a b c (Å): 6.9967 6.9967 7.3813
angles (deg): 105.25 105.25 32.11
Closest atoms and distances in Å follow each position.
Positions (direct):
Sr (0.1458, 0.1458, 0.0726)  7 N 2.70-2.94
Sr (0.8542, 0.8542, 0.9274)  7 N 2.70-2.94
Nd (0.1548, 0.1548, 0.5804)  7 N 2.46-2.66
Nd (0.8452, 0.8452, 0.4196)  7 N 2.46-2.66
V (0.5001, 0.5001, 0.2918)  4 N 1.90-1.98
V (0.4999, 0.4999, 0.7082)  4 N 1.90-1.98
N (0.0030, 0.0030, 0.3035)  2 V 1.94
N (0.3485, 0.3485, 0.6685)  1 V 1.98
N (0.3548, 0.3548, 0.1840)  1 V 1.90
N (0.6452, 0.6452, 0.8160)  1 V 1.90
N (0.6515, 0.6515, 0.3315)  1 V 1.98
N (0.9970, 0.9970, 0.6965)  2 V 1.94

Output
As for the symmetry: No. 12.

VASP calculation (PBE) on a relaxed Ho6AsP3S2 crystal.

a b c (Å): 8.8996 8.8996 7.9539
angles (deg): 103.08 103.08 25.84
Closest atoms and distances in Å follow each position.
Positions (direct):
Ho (0.0012, 0.0012, 0.2454)  3 P 2.78-2.80, 2 As 2.84, 1 S 2.86
Ho (0.3314, 0.3314, 0.4215)  3 P 2.77-2.79, 1 As 2.85, 2 S 2.86
Ho (0.3356, 0.3356, 0.9119)  3 P 2.77, 3 S 2.82-2.84
Ho (0.6644, 0.6644, 0.0881)  3 P 2.77, 3 S 2.82-2.84
Ho (0.6686, 0.6686, 0.5785)  3 P 2.77-2.79, 1 As 2.85, 2 S 2.86
Ho (0.9988, 0.9988, 0.7546)  3 P 2.78-2.80, 2 As 2.84, 1 S 2.86
As (0.5000, 0.5000, 0.5000)  6 Ho 2.84-2.85
P (0.1672, 0.1672, 0.3320)  6 Ho 2.77-2.80
P (0.5000, 0.5000, 0.0000)  6 Ho 2.77-2.78
P (0.8328, 0.8328, 0.6680)  6 Ho 2.77-2.80
S (0.1683, 0.1683, 0.8362)  6 Ho 2.82-2.86
S (0.8317, 0.8317, 0.1638)  6 Ho 2.82-2.86

Output
As for the symmetry: No. 12.

VASP calculation (PBE) on a relaxed SmEuGa crystal.

a b c (Å): 6.9511 6.9511 6.9511
angles (deg): 148.80 148.80 44.71
Closest atoms and distances in Å follow each position.
Positions (direct):
Sm (0.0000, 0.0000, 0.0000)  4 Ga 3.09
Eu (0.7272, 0.7272, 0.0000)  4 Ga 3.26, 1 Sm 3.51
Ga (0.3753, 0.3753, 0.0000)  4 Sm 3.09, 4 Eu 3.26

Output
As for the symmetry: No. 107. For the energy of formation from the pure elements, the calculation gives -0.32 eV per atom. As for the energy relative to the lowest polymorph listed for this composition: 0.00 eV per formula unit.

VASP calculation (PBE) on a relaxed As2Pt3 crystal.

a b c (Å): 4.1596 4.1596 5.9960
angles (deg): 90.00 90.00 120.00
Closest atoms and distances in Å follow each position.
Positions (direct):
As (0.3333, 0.6667, 0.2816)  7 Pt 2.54-2.74
As (0.6667, 0.3333, 0.7184)  7 Pt 2.54-2.74
Pt (0.0000, 0.0000, 0.5000)  6 As 2.74
Pt (0.3333, 0.6667, 0.8562)  4 As 2.54-2.55
Pt (0.6667, 0.3333, 0.1438)  4 As 2.54-2.55

Output
As for the symmetry: No. 164. For the energy of formation from the pure elements, the calculation gives -0.07 eV per atom.

VASP calculation (PBE) on a relaxed Ac3Tb2Pr5 crystal.

a b c (Å): 9.3850 9.3850 10.6093
angles (deg): 107.45 107.45 107.07
Closest atoms and distances in Å follow each position.
Positions (direct):
Ac (0.0074, 0.9926, 0.7500)  3 Pr 3.33-3.51, 2 Tb 3.61
Ac (0.2213, 0.4731, 0.4476)  1 Tb 3.52, 7 Pr 3.54-3.91, 1 Ac 3.80
Ac (0.4731, 0.2213, 0.9476)  1 Tb 3.52, 7 Pr 3.54-3.91, 1 Ac 3.80
Ac (0.5269, 0.7787, 0.0524)  1 Tb 3.52, 7 Pr 3.54-3.91, 1 Ac 3.80
Ac (0.7787, 0.5269, 0.5524)  1 Tb 3.52, 7 Pr 3.54-3.91, 1 Ac 3.80
Ac (0.9926, 0.0074, 0.2500)  3 Pr 3.33-3.51, 2 Tb 3.61
Tb (0.0280, 0.3011, 0.0639)  4 Pr 3.42-3.63, 2 Ac 3.52-3.61
Tb (0.3011, 0.0280, 0.5639)  4 Pr 3.42-3.63, 2 Ac 3.52-3.61
Tb (0.6989, 0.9720, 0.4361)  4 Pr 3.42-3.63, 2 Ac 3.52-3.61
Tb (0.9720, 0.6989, 0.9361)  4 Pr 3.42-3.63, 2 Ac 3.52-3.61
Pr (0.1304, 0.3892, 0.7614)  3 Pr 3.45-3.61, 1 Ac 3.51, 1 Tb 3.86
Pr (0.2279, 0.7721, 0.7500)  5 Ac 3.33-3.68, 2 Pr 3.49, 2 Tb 3.58
Pr (0.2593, 0.7407, 0.2500)  3 Pr 3.23-3.45, 4 Tb 3.42-3.59
Pr (0.3892, 0.1304, 0.2614)  3 Pr 3.45-3.61, 1 Ac 3.51, 1 Tb 3.86
Pr (0.4734, 0.5266, 0.2500)  3 Pr 3.23-3.61, 2 Ac 3.60
Pr (0.5266, 0.4734, 0.7500)  3 Pr 3.23-3.61, 2 Ac 3.60
Pr (0.6108, 0.8696, 0.7386)  3 Pr 3.45-3.61, 1 Ac 3.51, 1 Tb 3.86
Pr (0.7407, 0.2593, 0.7500)  3 Pr 3.23-3.45, 4 Tb 3.42-3.59
Pr (0.7721, 0.2279, 0.2500)  5 Ac 3.33-3.68, 2 Pr 3.49, 2 Tb 3.58
Pr (0.8696, 0.6108, 0.2386)  3 Pr 3.45-3.61, 1 Ac 3.51, 1 Tb 3.86

Output
As for the symmetry: No. 15. For the energy of formation from the pure elements, the calculation gives 0.19 eV per atom.

VASP calculation (PBE) on a relaxed YPuSn6 crystal.

a b c (Å): 4.7327 4.7327 9.2282
angles (deg): 90.00 90.00 90.00
Closest atoms and distances in Å follow each position.
Positions (direct):
Y (0.0000, 0.0000, 0.0000)  12 Sn 3.32-3.35
Pu (0.0000, 0.0000, 0.5000)  12 Sn 3.29-3.35
Sn (0.0000, 0.5000, 0.2520)  8 Sn 3.29-3.35, 2 Pu 3.29, 2 Y 3.32
Sn (0.0000, 0.5000, 0.7480)  8 Sn 3.29-3.35, 2 Pu 3.29, 2 Y 3.32
Sn (0.5000, 0.0000, 0.2520)  8 Sn 3.29-3.35, 2 Pu 3.29, 2 Y 3.32
Sn (0.5000, 0.0000, 0.7480)  8 Sn 3.29-3.35, 2 Pu 3.29, 2 Y 3.32
Sn (0.5000, 0.5000, 0.0000)  8 Sn 3.32, 4 Y 3.35
Sn (0.5000, 0.5000, 0.5000)  8 Sn 3.29, 4 Pu 3.35

Output
As for the symmetry: No. 123. For the energy of formation from the pure elements, the calculation gives -0.40 eV per atom.

VASP calculation (PBE) on a relaxed NaIn3Hg4 crystal.

a b c (Å): 10.0359 6.4417 6.4162
angles (deg): 90.00 90.00 90.00
Closest atoms and distances in Å follow each position.
Positions (direct):
Na (0.0000, 0.0119, 0.0000)  8 Hg 3.19-3.31, 4 In 3.46-3.47
Na (0.5000, 0.9881, 0.5000)  8 Hg 3.19-3.31, 4 In 3.46-3.47
In (0.0000, 0.4629, 0.4949)  6 Hg 3.17-3.35, 4 In 3.29-3.35
In (0.2437, 0.7258, 0.2535)  7 Hg 3.20-3.35, 2 In 3.29-3.35, 2 Na 3.46-3.47
In (0.2563, 0.2742, 0.7535)  7 Hg 3.20-3.35, 2 In 3.29-3.35, 2 Na 3.46-3.47
In (0.5000, 0.5371, 0.9949)  6 Hg 3.17-3.35, 4 In 3.29-3.35
In (0.7437, 0.2742, 0.7535)  7 Hg 3.20-3.35, 2 In 3.29-3.35, 2 Na 3.46-3.47
In (0.7563, 0.7258, 0.2535)  7 Hg 3.20-3.35, 2 In 3.29-3.35, 2 Na 3.46-3.47
Hg (0.0000, 0.5065, 0.9927)  2 Na 3.19-3.26, 6 In 3.21-3.35, 4 Hg 3.40-3.55
Hg (0.0000, 0.9708, 0.4992)  4 In 3.17-3.31, 2 Na 3.21-3.22, 4 Hg 3.22-3.40
Hg (0.2469, 0.7777, 0.7534)  5 In 3.20-3.35, 4 Hg 3.22-3.55, 2 Na 3.30-3.31
Hg (0.2531, 0.2223, 0.2534)  5 In 3.20-3.35, 4 Hg 3.22-3.55, 2 Na 3.30-3.31
Hg (0.5000, 0.0292, 0.9992)  4 In 3.17-3.31, 2 Na 3.21-3.22, 4 Hg 3.22-3.40
Hg (0.5000, 0.4935, 0.4927)  2 Na 3.19-3.26, 6 In 3.21-3.35, 4 Hg 3.40-3.55
Hg (0.7469, 0.2223, 0.2534)  5 In 3.20-3.35, 4 Hg 3.22-3.55, 2 Na 3.30-3.31
Hg (0.7531, 0.7777, 0.7534)  5 In 3.20-3.35, 4 Hg 3.22-3.55, 2 Na 3.30-3.31

Output
As for the symmetry: No. 31. For the energy of formation from the pure elements, the calculation gives -0.07 eV per atom. As for the energy relative to the lowest polymorph listed for this composition: 0.13 eV per formula unit.

For the records above, the corresponding total energy values read -54.075 -16.140 -46.317 -77.947 -18.973 -27.764 -43.563 -48.005 -11.321 eV/f.u..